Material: Zn2SiSe
Method: DFT, GGA-PBE
State: relaxed

## Properties
Theoretical density in g/cm3: 5.58
Raw total energy in eV/atom: -2.5643
Formation energy (no corrections) in meV per atom: 300
Total moment in μB/f.u.: 0.0
Fermi-level density of states in states/eV/f.u.: 1.712

a = 5.1312 Å, b = 5.1312 Å, c = 2.6895 Å
α = 90.00°, β = 90.00°, γ = 90.00°
Space group P4/mmm (No. 123)
Unique sites:
Zn 0.0000 0.5000 0.0000 (multiplicity 2)
Si 0.0000 0.0000 0.5000 (multiplicity 1)
Se 0.5000 0.5000 0.5000 (multiplicity 1)



Material: Zn2SiSe
Method: DFT, GGA-PBE
State: relaxed

## Properties
Theoretical density in g/cm3: 5.24
Raw total energy in eV/atom: -2.6025
Formation energy (no corrections) in meV per atom: 261
Total moment in μB/f.u.: 0.0
Fermi-level density of states in states/eV/f.u.: 1.083

a = 3.6752 Å, b = 3.6758 Å, c = 5.5800 Å
α = 90.00°, β = 90.00°, γ = 90.00°
Space group Pmmm (No. 47)
Unique sites:
Zn 0.0000 0.0000 0.0000 (multiplicity 1)
Zn 0.5000 0.0000 0.5000 (multiplicity 1)
Si 0.0000 0.5000 0.5000 (multiplicity 1)
Se 0.5000 0.5000 0.0000 (multiplicity 1)



Material: Zr2SiSe
Method: DFT, GGA-PBE
State: relaxed

## Properties
Theoretical density in g/cm3: 5.73
Raw total energy in eV/atom: -6.7292
Formation energy (no corrections) in meV per atom: -228
Total moment in μB/f.u.: 0.0
Fermi-level density of states in states/eV/f.u.: 3.803

a = 3.3700 Å, b = 3.3700 Å, c = 25.5939 Å
α = 90.00°, β = 90.00°, γ = 120.00°
Space group R3m (No. 160, hexagonal axes)
Unique sites:
Zr 0.0000 0.0000 0.0000 (multiplicity 3)
Zr 0.0000 0.0000 0.2354 (multiplicity 3)
Si 0.0000 0.0000 0.4886 (multiplicity 3)
Se 0.0000 0.0000 0.7409 (multiplicity 3)



Material: Zr2SiSe
Method: DFT, GGA-PBE
State: relaxed

## Properties
Theoretical density in g/cm3: 5.96
Raw total energy in eV/atom: -7.4218
Formation energy (no corrections) in meV per atom: -921
Total moment in μB/f.u.: 0.0
Fermi-level density of states in states/eV/f.u.: 1.710

a = 3.8540 Å, b = 3.8540 Å, c = 5.4262 Å
α = 90.00°, β = 90.00°, γ = 90.00°
Space group P4/mmm (No. 123)
Unique sites:
Zr 0.0000 0.0000 0.0000 (multiplicity 1)
Zr 0.5000 0.5000 0.5000 (multiplicity 1)
Si 0.0000 0.0000 0.5000 (multiplicity 1)
Se 0.5000 0.5000 0.0000 (multiplicity 1)



Material: ZrSi2Se
Method: DFT, GGA-PBE
State: relaxed

## Properties
Theoretical density in g/cm3: 5.26
Raw total energy in eV/atom: -5.7812
Formation energy (no corrections) in meV per atom: -62
Total moment in μB/f.u.: 0.0
Fermi-level density of states in states/eV/f.u.: 2.412

a = 5.7133 Å, b = 7.8303 Å, c = 3.1926 Å
α = 90.00°, β = 90.00°, γ = 90.00°
Space group Cmmm (No. 65)
Unique sites:
Zr 0.0000 0.0000 0.0000 (multiplicity 2)
Si 0.2500 0.2500 0.5000 (multiplicity 4)
Se 0.0000 0.5000 0.0000 (multiplicity 2)



Material: ZrSiSe
Method: DFT, GGA-PBE
State: relaxed

## Properties
Theoretical density in g/cm3: 5.47
Raw total energy in eV/atom: -6.1179
Formation energy (no corrections) in meV per atom: -299
Total moment in μB/f.u.: 0.0
Fermi-level density of states in states/eV/f.u.: 1.356

a = 4.5338 Å, b = 4.5338 Å, c = 3.3800 Å
α = 90.00°, β = 90.00°, γ = 120.00°
Space group P-6m2 (No. 187)
Unique sites:
Zr 0.0000 0.0000 0.0000 (multiplicity 1)
Si 0.3333 0.6667 0.5000 (multiplicity 1)
Se 0.6667 0.3333 0.0000 (multiplicity 1)



Material: ZrSi2Se
Method: DFT, GGA-PBE
State: relaxed

## Properties
Theoretical density in g/cm3: 5.35
Raw total energy in eV/atom: -6.0223
Formation energy (no corrections) in meV per atom: -303
Total moment in μB/f.u.: 0.0
Fermi-level density of states in states/eV/f.u.: 1.566

a = 3.5338 Å, b = 4.8599 Å, c = 8.1883 Å
α = 90.00°, β = 90.00°, γ = 90.00°
Space group Imm2 (No. 44)
Unique sites:
Zr 0.0000 0.0000 0.0000 (multiplicity 2)
Si 0.0000 0.0000 0.5386 (multiplicity 2)
Si 0.0000 0.5000 0.2279 (multiplicity 2)
Se 0.0000 0.5000 0.7897 (multiplicity 2)



Material: Zr2Si2Se
Method: DFT, GGA-PBE
State: relaxed

## Properties
Theoretical density in g/cm3: 5.71
Raw total energy in eV/atom: -7.0597
Formation energy (no corrections) in meV per atom: -774
Total moment in μB/f.u.: 0.0
Fermi-level density of states in states/eV/f.u.: 3.962

a = 3.5226 Å, b = 3.5226 Å, c = 14.8972 Å
α = 90.00°, β = 90.00°, γ = 90.00°
Space group I4/mmm (No. 139)
Unique sites:
Zr 0.0000 0.0000 0.1071 (multiplicity 4)
Si 0.0000 0.5000 0.2500 (multiplicity 4)
Se 0.0000 0.0000 0.5000 (multiplicity 2)



Material: Zr5Si2Se2
Method: DFT, GGA-PBE
State: relaxed

## Properties
Theoretical density in g/cm3: 6.42
Raw total energy in eV/atom: -7.7822
Formation energy (no corrections) in meV per atom: -1054
Total moment in μB/f.u.: 0.0
Fermi-level density of states in states/eV/f.u.: 4.545

a = 13.9688 Å, b = 7.0822 Å, c = 7.0096 Å
α = 90.00°, β = 90.00°, γ = 90.00°
Space group Cmce (No. 64)
Unique sites:
Zr 0.0000 0.0000 0.0000 (multiplicity 4)
Zr 0.1299 0.1695 0.3314 (multiplicity 16)
Si 0.0000 0.1244 0.6248 (multiplicity 8)
Se 0.2038 0.0000 0.0000 (multiplicity 8)



Material: ZrSi4Se
Method: DFT, GGA-PBE
State: relaxed

## Properties
Theoretical density in g/cm3: 4.86
Raw total energy in eV/atom: -5.6369
Formation energy (no corrections) in meV per atom: -16
Total moment in μB/f.u.: 0.0
Fermi-level density of states in states/eV/f.u.: 2.250

a = 7.2823 Å, b = 7.2823 Å, c = 7.2823 Å
α = 90.00°, β = 90.00°, γ = 90.00°
Space group F-43m (No. 216)
Unique sites:
Zr 0.0000 0.0000 0.0000 (multiplicity 4)
Si 0.1236 0.1236 0.6236 (multiplicity 16)
Se 0.2500 0.2500 0.2500 (multiplicity 4)



Material: ZrSi2Se
Method: DFT, GGA-PBE
State: relaxed

## Properties
Theoretical density in g/cm3: 4.71
Raw total energy in eV/atom: -6.0192
Formation energy (no corrections) in meV per atom: -300
Total moment in μB/f.u.: 0.0
Fermi-level density of states in states/eV/f.u.: 2.201

a = 3.4077 Å, b = 3.4077 Å, c = 6.8767 Å
α = 90.00°, β = 90.00°, γ = 90.00°
Space group P4mm (No. 99)
Unique sites:
Zr 0.0000 0.0000 0.0000 (multiplicity 1)
Si 0.0000 0.0000 0.5975 (multiplicity 1)
Si 0.5000 0.5000 0.7118 (multiplicity 1)
Se 0.5000 0.5000 0.1860 (multiplicity 1)



Material: ZrSi2Se
Method: DFT, GGA-PBE
State: relaxed

## Properties
Theoretical density in g/cm3: 5.17
Raw total energy in eV/atom: -5.7610
Formation energy (no corrections) in meV per atom: -41
Total moment in μB/f.u.: 0.0
Fermi-level density of states in states/eV/f.u.: 1.870

a = 4.7047 Å, b = 4.7047 Å, c = 3.2831 Å
α = 90.00°, β = 90.00°, γ = 90.00°
Space group P4/mmm (No. 123)
Unique sites:
Zr 0.0000 0.0000 0.0000 (multiplicity 1)
Si 0.0000 0.5000 0.5000 (multiplicity 2)
Se 0.5000 0.5000 0.0000 (multiplicity 1)



Q: What is the formula in the ninth record?
A: Zr5Si2Se2